Below is a relaxed structure of Rb2CaYF6, with properties calculated at the PBE level.

Computed properties:
E above lowest polymorph (eV/f.u.): 0.000
Theoretical density (g cm⁻³): 3.585
Volume (Å³ per atom): 19.17
ΔE_f (raw) (kJ per mole of atoms): -315.90

Unit cell a=6.647 b=6.346 c=9.090 alpha=90.00 beta=90.00 gamma=90.00
Site moments in Bohr magnetons follow the coordinates.
Fractional positions:
1 F 0.747 0.997 0.500  0.01
2 F 0.707 0.558 0.000  0.01
3 F 0.247 0.003 0.000  0.01
4 F 0.000 0.758 0.246  0.00
5 F 0.253 0.997 0.500  0.01
6 F 0.207 0.442 0.500  0.01
7 F 0.000 0.758 0.754  0.00
8 F 0.500 0.242 0.746  0.00
9 F 0.793 0.442 0.500  0.01
10 F 0.500 0.242 0.254  0.00
11 F 0.753 0.003 0.000  0.01
12 F 0.293 0.558 0.000  0.01
13 Y 0.500 0.263 0.500  0.18
14 Y 0.000 0.737 0.000  0.18
15 Ca 0.000 0.733 0.500  0.00
16 Ca 0.500 0.267 0.000  0.00
17 Rb 0.500 0.776 0.239  0.01
18 Rb 0.500 0.776 0.761  0.01
19 Rb 0.000 0.224 0.739  0.01
20 Rb 0.000 0.224 0.261  0.01

Below is a relaxed structure of Rb2Ca3YF12, with properties calculated at the PBE level.

Computed properties:
Theoretical density (g cm⁻³): 2.570
Volume (Å³ per atom): 21.83
ΔE_f (raw) (kJ per mole of atoms): -329.62

Unit cell a=8.345 b=8.345 c=8.345 alpha=58.10 beta=58.10 gamma=58.10
Site moments in Bohr magnetons follow the coordinates.
Fractional positions:
1 F 0.337 0.337 0.908  0.14
2 F 0.315 0.935 0.935  0.05
3 F 0.663 0.663 0.092  0.14
4 F 0.065 0.065 0.685  0.05
5 F 0.092 0.663 0.663  0.14
6 F 0.337 0.908 0.337  0.14
7 F 0.663 0.092 0.663  0.14
8 F 0.685 0.065 0.065  0.05
9 F 0.908 0.337 0.337  0.14
10 F 0.065 0.685 0.065  0.05
11 F 0.935 0.315 0.935  0.05
12 F 0.935 0.935 0.315  0.05
13 Rb 0.403 0.403 0.403  0.00
14 Rb 0.597 0.597 0.597  0.00
15 Ca 0.500 0.000 0.000  0.00
16 Ca 0.000 0.500 0.000  0.00
17 Ca 0.000 0.000 0.500  0.00
18 Y 0.000 0.000 0.000  0.00

Below is a relaxed structure of Rb2CaYF6, with properties calculated at the PBE level.

Computed properties:
E above lowest polymorph (eV/f.u.): 0.089
Theoretical density (g cm⁻³): 3.509
Volume (Å³ per atom): 19.59
ΔE_f (raw) (kJ per mole of atoms): -315.04

Unit cell a=6.518 b=6.518 c=6.519 alpha=60.01 beta=60.01 gamma=90.00
Fractional positions:
1 Y 0.000 0.000 0.000
2 Ca 0.500 0.500 0.000
3 F 0.244 0.756 0.000
4 F 0.756 0.756 0.000
5 F 0.756 0.756 0.487
6 F 0.244 0.244 0.000
7 F 0.756 0.244 0.000
8 F 0.244 0.244 0.513
9 Rb 0.750 0.250 0.500
10 Rb 0.250 0.750 0.500

Below is a relaxed structure of Rb3CaZn2F9, with properties calculated at the PBE level.

Computed properties:
Theoretical density (g cm⁻³): 4.192
Volume (Å³ per atom): 15.80
ΔE_f (raw) (kJ per mole of atoms): -275.20

Unit cell a=6.062 b=6.062 c=7.446 alpha=90.00 beta=90.00 gamma=120.00
Fractional positions:
1 F 0.826 0.174 0.678
2 F 0.653 0.826 0.322
3 F 0.826 0.653 0.678
4 F 0.347 0.174 0.678
5 F 0.500 0.000 0.000
6 F 0.174 0.347 0.322
7 F 0.174 0.826 0.322
8 F 0.500 0.500 0.000
9 F 0.000 0.500 0.000
10 Rb 0.333 0.667 0.675
11 Rb 0.667 0.333 0.325
12 Rb 0.000 0.000 0.000
13 Zn 0.667 0.333 0.840
14 Zn 0.333 0.667 0.160
15 Ca 0.000 0.000 0.500

Below is a relaxed structure of Rb2CaZn3F12, with properties calculated at the PBE level.

Computed properties:
Theoretical density (g cm⁻³): 3.579
Volume (Å³ per atom): 16.37
ΔE_f (raw) (kJ per mole of atoms): -237.50

Unit cell a=7.368 b=7.368 c=7.368 alpha=61.88 beta=61.88 gamma=61.88
Site moments in Bohr magnetons follow the coordinates.
Fractional positions:
1 F 0.899 0.899 0.372  0.12
2 F 0.299 0.909 0.299  0.11
3 F 0.091 0.701 0.701  0.11
4 F 0.101 0.101 0.628  0.12
5 F 0.899 0.372 0.899  0.12
6 F 0.701 0.701 0.091  0.11
7 F 0.628 0.101 0.101  0.12
8 F 0.372 0.899 0.899  0.12
9 F 0.701 0.091 0.701  0.11
10 F 0.909 0.299 0.299  0.11
11 F 0.101 0.628 0.101  0.12
12 F 0.299 0.299 0.909  0.11
13 Zn 0.000 0.500 0.000  0.18
14 Zn 0.000 0.000 0.500  0.18
15 Zn 0.500 0.000 0.000  0.18
16 Ca 0.000 0.000 0.000  0.00
17 Rb 0.382 0.382 0.382  0.00
18 Rb 0.618 0.618 0.618  0.00

Below is a relaxed structure of RbCaZnF6, with properties calculated at the PBE level.

Computed properties:
Theoretical density (g cm⁻³): 3.481
Volume (Å³ per atom): 16.16
ΔE_f (raw) (kJ per mole of atoms): -262.47

Unit cell a=7.582 b=7.673 c=7.356 alpha=121.44 beta=121.02 gamma=90.00
Site moments in Bohr magnetons follow the coordinates.
Fractional positions:
1 Zn 0.500 0.500 0.000  0.21
2 Zn 0.500 0.000 0.000  0.21
3 Rb 0.854 0.604 0.708  0.00
4 Rb 0.146 0.396 0.292  0.00
5 F 0.817 0.609 0.271  0.17
6 F 0.817 0.162 0.271  0.17
7 F 0.568 0.818 0.137  0.08
8 F 0.454 0.162 0.271  0.17
9 F 0.183 0.838 0.729  0.17
10 F 0.546 0.838 0.729  0.17
11 F 0.546 0.391 0.729  0.17
12 F 0.135 0.885 0.270  0.05
13 F 0.454 0.609 0.271  0.17
14 F 0.432 0.182 0.863  0.08
15 F 0.865 0.115 0.730  0.05
16 F 0.183 0.391 0.729  0.17
17 Ca 0.000 0.000 0.500  0.00
18 Ca 0.500 0.000 0.500  0.00

Below is a relaxed structure of RbCaZrF7, with properties calculated at the PBE level.

Computed properties:
Theoretical density (g cm⁻³): 3.389
Volume (Å³ per atom): 17.14
ΔE_f (raw) (kJ per mole of atoms): -353.37

Unit cell a=6.660 b=6.660 c=8.655 alpha=90.00 beta=90.00 gamma=116.79
Fractional positions:
1 F 0.349 0.063 0.750
2 F 0.702 0.298 0.513
3 F 0.063 0.349 0.250
4 F 0.651 0.937 0.250
5 F 0.298 0.702 0.487
6 F 0.702 0.298 0.987
7 F 0.673 0.976 0.750
8 F 0.489 0.511 0.250
9 F 0.511 0.489 0.750
10 F 0.937 0.651 0.750
11 F 0.024 0.327 0.750
12 F 0.976 0.673 0.250
13 F 0.327 0.024 0.250
14 F 0.298 0.702 0.013
15 Ca 0.310 0.690 0.750
16 Ca 0.690 0.310 0.250
17 Zr 0.694 0.306 0.750
18 Zr 0.306 0.694 0.250
19 Rb 0.000 0.000 0.000
20 Rb 0.000 0.000 0.500

Below is a relaxed structure of Rb2CaZrF6, with properties calculated at the PBE level.

Computed properties:
Theoretical density (g cm⁻³): 3.722
Volume (Å³ per atom): 18.57
ΔE_f (raw) (kJ per mole of atoms): -289.49

Unit cell a=6.437 b=6.437 c=6.388 alpha=59.75 beta=59.75 gamma=90.00
Site moments in Bohr magnetons follow the coordinates.
Fractional positions:
1 Ca 0.500 0.500 0.000  0.02
2 Zr 0.000 0.000 0.000  1.27
3 F 0.754 0.754 0.492  0.01
4 F 0.246 0.246 0.508  0.01
5 F 0.251 0.749 0.000  0.01
6 F 0.749 0.251 0.000  0.01
7 F 0.749 0.749 0.000  0.01
8 F 0.251 0.251 0.000  0.01
9 Rb 0.750 0.250 0.500  0.01
10 Rb 0.250 0.750 0.500  0.01

Asked for DOS at the Fermi energy across the records above, the calculation gives 0.24, 1.07, 0.25, 0.00, 0.38, 0.73, 0.00, 1.27 states/eV/atom in order.
Asked for total magnetization across the records above, the calculation gives 0.6, 1.3, 0.0, 0.0, 2.0, 1.1, 0.0, 1.9 μB per formula unit in order.
Asked for E_tot across the records above, the calculation gives -108.74, -98.35, -54.28, -67.08, -74.52, -79.91, -122.48, -53.72 eV per cell in order.